Computed, not measured: crystalline W2NF2 at its relaxed geometry at the GGA+U level of DFT.

a = 5.779 Å, b = 5.779 Å, c = 4.224 Å
α = 90.00°, β = 90.00°, γ = 90.00°
Fractional coordinates of all 10 atoms:
W: 0.186 0.314 0.000
W: 0.314 0.814 0.000
W: 0.686 0.186 0.000
W: 0.814 0.686 0.000
N: 0.000 0.000 0.000
N: 0.500 0.500 0.000
F: 0.182 0.318 0.500
F: 0.318 0.818 0.500
F: 0.682 0.182 0.500
F: 0.818 0.682 0.500

N(E_F): 0.151 states/eV per atom
Excess energy over the best structure of this formula in the dataset: 0.000 eV/f.u.